Record 1
Here is AsIrPb2 after structural relaxation from Alexandria. Energies are from PBE-GGA.

abc: 7.0779 7.0779 7.0779
angles: 90.00 90.00 90.00
Closest atoms and distances in Å follow each position.
Space group F-43m (No. 216)
Unique sites:
As  0.0000  0.0000  0.0000 x4  4 Ir 3.06, 4 Pb 3.06
Ir  0.2500  0.2500  0.2500 x4  4 Pb 3.06, 4 As 3.06
Pb  0.0000  0.0000  0.5000 x4  4 Pb 3.06, 4 Ir 3.06
Pb  0.2500  0.2500  0.7500 x4  4 As 3.06, 4 Pb 3.06

ρ (g cm⁻³): 12.8
Total magnetization (μB per cell): 0.0
Distance to the lowest polymorph of the same formula (meV/atom): 539
Energy of formation from the pure elements (meV per atom): 489
Density of states at the Fermi level (states/eV/cell): 4.089
Uncorrected energy (eV for the cell shown): -75.89

Record 2
Here is AsIrPb2 after structural relaxation from Alexandria. Energies are from PBE-GGA.

abc: 3.3013 3.3052 8.2816
angles: 90.00 90.49 90.00
Closest atoms and distances in Å follow each position.
Space group P2/m (No. 10)
Unique sites:
As  0.0000  0.0000  0.0000 x1  8 Pb 3.27-3.30, 4 As 3.30-3.31
Ir  0.0000  0.0000  0.5000 x1  8 Pb 2.96-2.97, 4 Ir 3.30-3.31
Pb  0.4963  0.5000  0.2794 x2  4 Ir 2.96-2.97, 4 As 3.27-3.30, 4 Pb 3.30-3.31

ρ (g cm⁻³): 12.5
Total magnetization (μB per cell): 0.0
Distance to the lowest polymorph of the same formula (meV/atom): 413
Energy of formation from the pure elements (meV per atom): 363
Density of states at the Fermi level (states/eV/cell): 2.624
Uncorrected energy (eV for the cell shown): -19.47